# Mo5Pt3Rh3

Mo5Pt3Rh3 after structural relaxation (PBE, the Alexandria database).

Calculated values
Energy: -89.41 eV/cell
M_tot: 0.00 μB/cell
ΔH_f (0 K): 4.918 eV/f.u.

Geometry as CIF:
```
data_Mo5Pt3Rh3
_chemical_formula_sum 'Mo5 Pt3 Rh3'
_cell_length_a 8.8519
_cell_length_b 8.8519
_cell_length_c 2.6930
_cell_angle_alpha 90.00
_cell_angle_beta 90.00
_cell_angle_gamma 120.00
_space_group_name_H-M_alt 'P -6 2 m'
_space_group_IT_number 189
_space_group_name_Hall 'P -6 -2'
loop_
_atom_site_label
_atom_site_type_symbol
_atom_site_fract_x
_atom_site_fract_y
_atom_site_fract_z
Mo1 Mo 0.0000 0.6749 0.0000
Mo2 Mo 0.3333 0.6667 0.0000
Pt1 Pt 0.0000 0.4216 0.5000
Rh1 Rh 0.0000 0.1669 0.0000
```